## BaVI2O (PBE with a Hubbard U)

Data for crystalline BaVI2O at its relaxed geometry.

Values from the calculation:
Relative energy among the computed polymorphs   0 meV per atom
Theoretical density   5.225 g/cm3
Spin magnetization   2.42 μB per formula unit

a = 6.1377 Å, b = 6.1377 Å, c = 3.8642 Å
α = 90.00°, β = 90.00°, γ = 90.00°
Closest atoms and distances in Å follow each position.
Space group P4/mmm (No. 123)
Asymmetric unit:
Ba  0.0000  0.0000  0.0000 (multiplicity 1)  8 I 3.63, 2 Ba 3.86
V  0.5000  0.5000  0.5000 (multiplicity 1)  2 O 1.93
I  0.0000  0.5000  0.5000 (multiplicity 2)  2 V 3.07
O  0.5000  0.5000  0.0000 (multiplicity 1)  2 V 1.93